16
Lattice="7.575 0.000 0.000 0.000 7.575 0.000 0.000 0.000 7.575" Properties=species:S:1:pos:R:3 comment="Tm2CdBi, optimized geometry, DFT GGA-PBE" dft_energy_ev_per_atom=-3.7920 formation_enthalpy_0k_ev_per_atom=-0.357 relative_energy_ev_per_atom=0.062 spacegroup="Fm-3m, No. 225" mass_density_g_cm3=10.1 pbc="T T T"
Tm 1.894 1.894 1.894
Tm 1.894 1.894 5.681
Tm 1.894 5.681 1.894
Tm 1.894 5.681 5.681
Tm 5.681 1.894 1.894
Tm 5.681 1.894 5.681
Tm 5.681 5.681 1.894
Tm 5.681 5.681 5.681
Cd 0.000 0.000 0.000
Cd 0.000 3.787 3.787
Cd 3.787 0.000 3.787
Cd 3.787 3.787 0.000
Bi 0.000 0.000 3.787
Bi 0.000 3.787 0.000
Bi 3.787 0.000 0.000
Bi 3.787 3.787 3.787